Material: ZnSb2Pt
Method: DFT, PBE
State: relaxed

abc: 3.0009 3.8897 7.8501
angles: 90.00 92.57 90.00
Space group P2/m (No. 10)
One atom of each set of equivalent atoms:
Zn (0.0000, 0.0000, 0.0000) [1 per cell]
Sb (0.1464, 0.5000, 0.7331) [2 per cell]
Pt (0.0000, 0.0000, 0.5000) [1 per cell]

Computed properties:
calculated volume	92	Å³/cell
energy	-3.914	eV/atom